Entry 1:
Here is a geometry-optimized CaGa2Ag4 structure from Alexandria via LeMat-Bulk. Energies are from PBE-GGA.

Values from the calculation:
E_form, meV per atom: -160
Space-group type: R-3m, No. 166
Energy above the lowest structure with this stoichiometry, eV/atom: 0.047
N(E_F), states/eV per cell: 2.0
Size of the total moment, μB per formula unit: 0.000
Density, kg/m3: 7297

```
CaGa2Ag4
1.0
2.3119 1.3348 7.5098
-2.3119 1.3348 7.5098
0.0000 -2.6695 7.5098
Ca Ga Ag
1 2 4
direct
0.0000 0.0000 0.0000
0.2589 0.2589 0.2589
0.7411 0.7411 0.7411
0.1389 0.1389 0.1389
0.4236 0.4236 0.4236
0.5764 0.5764 0.5764
0.8611 0.8611 0.8611
```

Entry 2:
Here is a geometry-optimized CaGa6Ag2 structure from Alexandria via LeMat-Bulk. Energies are from PBE-GGA.

Values from the calculation:
E_form, meV per atom: -122
Space-group type: Immm, No. 71
Energy above the lowest structure with this stoichiometry, eV/atom: 0.000
N(E_F), states/eV per cell: 3.4
Size of the total moment, μB per formula unit: 0.000
Density, kg/m3: 6039

```
CaGa6Ag2
1.0
-2.0996 3.6489 6.0494
2.0996 -3.6489 6.0494
2.0996 3.6489 -6.0494
Ca Ga Ag
1 6 2
direct
0.0000 0.0000 0.0000
0.0061 0.6937 0.3124
0.3245 0.5000 0.8245
0.3813 0.6937 0.6876
0.6187 0.3063 0.3124
0.6755 0.5000 0.1755
0.9939 0.3063 0.6876
0.3838 0.8838 0.5000
0.6162 0.1162 0.5000
```

Entry 3:
Here is a geometry-optimized CaGa4Ag4 structure from Alexandria via LeMat-Bulk. Energies are from PBE-GGA.

Values from the calculation:
E_form, meV per atom: -127
Space-group type: P4_2/nmc, No. 137
N(E_F), states/eV per cell: 5.8
Size of the total moment, μB per formula unit: 0.000
Density, kg/m3: 6870

```
CaGa4Ag4
1.0
6.2413 0.0000 0.0000
0.0000 6.2413 0.0000
0.0000 0.0000 9.3125
Ca Ga Ag
2 8 8
direct
0.2500 0.7500 0.2500
0.7500 0.2500 0.7500
0.0348 0.2500 0.0459
0.2500 0.0348 0.5459
0.2500 0.4652 0.5459
0.4652 0.2500 0.0459
0.5348 0.7500 0.9541
0.7500 0.5348 0.4541
0.7500 0.9652 0.4541
0.9652 0.7500 0.9541
0.0265 0.2500 0.3342
0.2500 0.0265 0.8342
0.2500 0.4735 0.8342
0.4735 0.2500 0.3342
0.5265 0.7500 0.6658
0.7500 0.5265 0.1658
0.7500 0.9735 0.1658
0.9735 0.7500 0.6658
```

Entry 4:
Here is a geometry-optimized Ca2Ga2Ag5 structure from Alexandria via LeMat-Bulk. Energies are from PBE-GGA.

Values from the calculation:
E_form, meV per atom: -233
Space-group type: P4/mmm, No. 123
N(E_F), states/eV per cell: 2.3
Size of the total moment, μB per formula unit: 0.000
Density, kg/m3: 6635

```
Ca2Ga2Ag5
1.0
4.3899 0.0000 0.0000
0.0000 4.3899 0.0000
0.0000 0.0000 9.8566
Ca Ga Ag
2 2 5
direct
0.0000 0.0000 0.0000
0.0000 0.0000 0.5000
0.5000 0.5000 0.1292
0.5000 0.5000 0.8708
0.0000 0.5000 0.2775
0.0000 0.5000 0.7225
0.5000 0.0000 0.2775
0.5000 0.0000 0.7225
0.5000 0.5000 0.5000
```

Entry 5:
Here is a geometry-optimized CaGa12Ag4 structure from Alexandria via LeMat-Bulk. Energies are from PBE-GGA.

Values from the calculation:
E_form, meV per atom: 39
Space-group type: Im-3, No. 204
N(E_F), states/eV per cell: 7.8
Size of the total moment, μB per formula unit: 0.000
Density, kg/m3: 5881

```
CaGa12Ag4
1.0
-4.5200 4.5200 4.5200
4.5200 -4.5200 4.5200
4.5200 4.5200 -4.5200
Ca Ga Ag
1 12 4
direct
0.0000 0.0000 0.0000
0.1463 0.3559 0.5022
0.1463 0.6441 0.7905
0.2095 0.8537 0.3559
0.3559 0.2095 0.8537
0.3559 0.5022 0.1463
0.4978 0.8537 0.6441
0.5022 0.1463 0.3559
0.6441 0.4978 0.8537
0.6441 0.7905 0.1463
0.7905 0.1463 0.6441
0.8537 0.3559 0.2095
0.8537 0.6441 0.4978
0.0000 0.0000 0.5000
0.0000 0.5000 0.0000
0.5000 0.0000 0.0000
0.5000 0.5000 0.5000
```

Entry 6:
Here is a geometry-optimized Ca4GaAg structure from Alexandria via LeMat-Bulk. Energies are from PBE-GGA.

Values from the calculation:
E_form, meV per atom: -262
Space-group type: C2/c, No. 15
Energy above the lowest structure with this stoichiometry, eV/atom: 0.006
N(E_F), states/eV per cell: 9.1
Size of the total moment, μB per formula unit: 0.000
Density, kg/m3: 2922

```
Ca4GaAg
1.0
4.7986 -7.1090 0.0000
4.7986 7.1090 0.0000
-3.7296 0.0000 5.6282
Ca Ga Ag
8 2 2
direct
0.0542 0.6849 0.9020
0.2500 0.3682 0.7395
0.3151 0.9458 0.5980
0.3682 0.2500 0.2395
0.6318 0.7500 0.7605
0.6849 0.0542 0.4020
0.7500 0.6318 0.2605
0.9458 0.3151 0.0980
0.3648 0.6352 0.2500
0.6352 0.3648 0.7500
0.0032 0.9968 0.7500
0.9968 0.0032 0.2500
```